(1)
A plane-wave DFT calculation with PBE was carried out for a relaxed structure of Ac2Al3AgAu4.

Cell: 4.6053 4.6053 10.6774 Å, 90.00 90.00 90.00°
Space group P-4m2 (No. 115)
One atom of each set of equivalent atoms:
Ac 0.0000 0.5000 0.2491
Al 0.0000 0.0000 0.0000
Al 0.0000 0.5000 0.6199
Ag 0.5000 0.5000 0.0000
Au 0.0000 0.0000 0.5000
Au 0.0000 0.5000 0.8583
Au 0.5000 0.5000 0.5000

Calculated values
Calculated total energy   -4.1823 eV per atom

(2)
A plane-wave DFT calculation with PBE was carried out for a relaxed structure of AcAlAg2Au4.

Cell: 4.6704 4.6704 27.0279 Å, 90.00 90.00 120.00°
Space group R-3m (No. 166, hexagonal axes)
One atom of each set of equivalent atoms:
Ac 0.0000 0.0000 0.0000
Al 0.0000 0.0000 0.5000
Ag 0.0000 0.0000 0.2411
Au 0.0000 0.0000 0.1347
Au 0.0000 0.0000 0.4004

Calculated values
Calculated total energy   -3.6967 eV per atom

no.,E_form (kJ/mol of formula units)
1,-619
2,-281